Entry 1:
Density functional theory data (PBE-GGA) for crystalline CrRu3W at its relaxed geometry.

Geometry as POSCAR:
```
CrRu3W
1.0
-1.819 -3.653 -1.501
1.657 0.794 -3.941
3.585 -2.221 1.060
Ru W Cr
3 1 1
Cartesian
0.829 0.397 -1.970
1.792 -1.110 0.530
-0.910 -1.826 -0.751
1.711 -2.540 -2.191
0.000 0.000 0.000
```

## Properties
DFT formation energy, eV/atom: 1.436
M_tot, μB per cell: 0.005
Total DFT energy (no corrections), eV/atom: -8.645
Symmetry: Pm-3m
Polymorph energy (0 for the lowest one), meV per atom: 0.0

Entry 2:
Density functional theory data (PBE-GGA) for crystalline La8Co3I4N at its relaxed geometry.

Geometry as POSCAR:
```
La8Co3I4N
1.0
7.891 0.000 0.000
0.000 9.411 0.721
-3.946 -4.164 6.031
La Co I N
8 3 4 1
Cartesian
-2.067 2.295 6.361
0.000 4.442 3.314
0.000 0.790 3.403
2.067 2.295 6.361
1.879 2.952 0.390
3.946 4.457 3.349
3.946 0.805 3.437
6.012 2.952 0.390
3.946 4.706 0.360
1.973 2.624 3.376
-1.973 2.624 3.376
3.946 0.000 0.000
1.973 -2.082 3.015
0.000 0.000 0.000
-1.973 -2.082 3.015
0.000 4.706 0.360
```

## Properties
M_tot, μB per cell: 0.000
Total DFT energy (no corrections), eV/atom: -5.509
Symmetry: C2/m
Energy relative to the elements, uncorrected, eV per atom: -0.805

Entry 3:
Density functional theory data (PBE-GGA) for crystalline Cd2Ag2Pd at its relaxed geometry.

Geometry as POSCAR:
```
Cd2Ag2Pd
1.0
7.594 0.000 0.000
0.000 7.594 0.000
0.000 0.000 3.349
Pd Ag Cd
2 4 4
Cartesian
0.000 0.000 0.000
3.797 3.797 0.000
2.806 6.603 0.000
6.603 4.788 0.000
4.788 0.991 0.000
0.991 2.806 0.000
1.294 5.091 1.674
5.091 6.300 1.674
6.300 2.503 1.674
2.503 1.294 1.674
```

## Properties
DFT formation energy, eV/atom: 0.029
M_tot, μB per cell: 0.000
Total DFT energy (no corrections), eV/atom: -2.516
Symmetry: P4/mbm
Polymorph energy (0 for the lowest one), meV per atom: 183.6

Entry 4:
Density functional theory data (PBE-GGA) for crystalline Tm4Zr3O12 at its relaxed geometry.

Geometry as POSCAR:
```
Tm4Zr3O12
1.0
-1.121 5.229 3.359
-5.747 -2.697 0.333
3.126 -3.469 4.557
Tm Zr O
4 3 12
Cartesian
-1.744 -2.854 5.478
-4.532 -0.057 4.392
-1.998 1.917 2.772
0.789 -0.880 3.858
0.000 0.000 0.000
-1.125 1.040 6.041
-2.618 -1.978 2.208
-1.154 -4.743 4.376
-5.925 0.850 2.879
0.657 2.200 6.257
-2.589 3.806 3.873
2.183 -1.787 5.371
-4.399 -3.137 1.993
-0.376 1.053 3.982
-0.863 -2.237 3.357
-3.260 -0.011 2.404
-3.366 -1.990 4.267
-2.880 1.300 4.893
-0.482 -0.926 5.846
```

## Properties
M_tot, μB per cell: 0.000
Total DFT energy (no corrections), eV/atom: -8.967
Symmetry: P-1
Polymorph energy (0 for the lowest one), meV per atom: 0.0
Energy relative to the elements, uncorrected, eV per atom: -3.544

Entry 5:
Density functional theory data (PBE-GGA) for crystalline GeS2Br2 at its relaxed geometry.

Geometry as POSCAR:
```
GeS2Br2
1.0
-3.329 0.541 -2.226
0.024 -0.609 -3.995
-3.209 -11.134 1.132
Ge S Br
1 2 2
Cartesian
0.000 0.000 0.000
-2.980 -6.036 -1.736
-3.534 -5.166 -3.353
-1.504 -1.586 -1.820
-5.010 -9.616 -3.268
```

## Properties
M_tot, μB per cell: 0.000
Total DFT energy (no corrections), eV/atom: -3.439
Symmetry: P-1
Energy relative to the elements, uncorrected, eV per atom: -0.195

Entry 6:
Density functional theory data (PBE-GGA) for crystalline Gd2Sc3Si4 at its relaxed geometry.

Geometry as POSCAR:
```
Gd2Sc3Si4
1.0
7.117 0.000 0.000
0.000 7.421 0.000
0.000 0.000 14.037
Gd Sc Si
8 12 16
Cartesian
0.084 1.302 1.353
7.033 6.119 12.685
3.474 5.013 12.685
7.033 6.119 8.371
3.642 2.408 1.353
0.084 1.302 5.666
3.642 2.408 5.666
3.474 5.013 8.371
1.136 3.741 10.528
5.981 3.680 3.509
2.423 0.030 3.509
4.694 7.391 10.528
2.330 1.306 8.777
4.787 6.116 5.260
1.228 5.017 5.260
4.787 6.116 1.759
5.888 2.405 8.777
2.330 1.306 12.278
5.888 2.405 12.278
1.228 5.017 1.759
0.217 0.867 10.528
6.900 6.555 3.509
3.341 4.577 3.509
3.776 2.844 10.528
2.022 6.489 10.528
5.095 0.932 3.509
1.537 2.779 3.509
5.580 4.643 10.528
1.096 3.450 7.571
6.021 3.971 6.467
2.462 7.161 6.467
6.021 3.971 0.552
4.655 0.261 7.571
1.096 3.450 13.485
4.655 0.261 13.485
2.462 7.161 0.552
```

## Properties
M_tot, μB per cell: 60.088
Total DFT energy (no corrections), eV/atom: -8.481
Symmetry: Pnma
Energy relative to the elements, uncorrected, eV per atom: -0.831

Entry 7:
Density functional theory data (PBE-GGA) for crystalline Ac2CdSi at its relaxed geometry.

Geometry as POSCAR:
```
Ac2CdSi
1.0
-2.248 0.423 3.310
-3.333 -0.113 -2.250
-0.274 -7.634 0.789
Ac Si Cd
2 1 1
Cartesian
-0.214 -5.949 0.615
-0.061 -1.685 0.174
-2.791 0.155 0.530
-2.928 -3.662 0.924
```

## Properties
M_tot, μB per cell: 0.000
Total DFT energy (no corrections), eV/atom: -3.981
Symmetry: P4/mmm
Energy relative to the elements, uncorrected, eV per atom: -0.342

Entry 8:
Density functional theory data (PBE-GGA) for crystalline Sm2SiAu3 at its relaxed geometry.

Geometry as POSCAR:
```
Sm2SiAu3
1.0
3.645 0.000 0.000
0.000 4.488 0.000
0.000 0.000 8.119
Sm Si Au
2 1 3
Cartesian
0.000 2.244 8.104
0.000 0.000 4.088
1.822 2.244 2.663
1.822 0.000 6.839
1.822 0.000 1.508
1.822 2.244 5.217
```

## Properties
M_tot, μB per cell: 0.000
Total DFT energy (no corrections), eV/atom: -4.890
Symmetry: Pmm2
Energy relative to the elements, uncorrected, eV per atom: -0.775

Entry 9:
Density functional theory data (PBE-GGA) for crystalline V2Co3Pt4 at its relaxed geometry.

Geometry as POSCAR:
```
V2Co3Pt4
1.0
3.734 0.000 0.799
1.679 4.121 1.279
0.245 0.102 7.979
V Co Pt
2 3 4
Cartesian
1.467 0.473 2.270
4.191 3.749 7.787
2.699 3.299 5.635
0.000 0.000 0.000
2.959 0.924 4.422
3.449 2.314 2.133
0.726 1.362 5.732
4.932 2.861 4.325
2.209 1.909 7.925
```

## Properties
DFT formation energy, eV/atom: -0.336
M_tot, μB per cell: 3.735
Total DFT energy (no corrections), eV/atom: -7.416
Symmetry: C2/m

Entry 10:
Density functional theory data (PBE-GGA) for crystalline LiGdDyPd at its relaxed geometry.

Geometry as POSCAR:
```
LiGdDyPd
1.0
-3.218 1.677 -3.513
-0.596 -2.565 -4.310
-4.303 -2.495 -0.880
Gd Li Pd Dy
1 1 1 1
Cartesian
-2.029 -0.846 -2.176
0.000 0.000 0.000
-4.058 -1.691 -4.351
-6.088 -2.537 -6.527
```

## Properties
DFT formation energy, eV/atom: -0.393
M_tot, μB per cell: 7.176
Total DFT energy (no corrections), eV/atom: -6.840
Symmetry: F-43m

Entry 11:
Density functional theory data (PBE-GGA) for crystalline Ce2ThSn at its relaxed geometry.

Geometry as POSCAR:
```
Ce2ThSn
1.0
-1.930 -3.395 1.292
1.490 -2.075 -3.225
5.540 -1.747 3.685
Ce Th Sn
2 1 1
Cartesian
3.949 -1.245 2.626
1.591 -0.502 1.058
-0.220 -2.735 -0.966
2.550 -3.609 0.876
```

## Properties
DFT formation energy, eV/atom: -0.281
M_tot, μB per cell: 1.373
Total DFT energy (no corrections), eV/atom: -6.104
Symmetry: P4/mmm
Polymorph energy (0 for the lowest one), meV per atom: 83.3

Entry 12:
Density functional theory data (PBE-GGA) for crystalline Cd3GaPt at its relaxed geometry.

Geometry as POSCAR:
```
Cd3GaPt
1.0
-0.898 2.641 -4.116
-4.551 -1.983 -0.279
-1.790 3.717 2.775
Ga Pt Cd
1 1 3
Cartesian
0.000 0.000 0.000
-3.619 2.187 -0.810
-2.275 -0.991 -0.140
-0.895 1.858 1.388
-0.449 1.320 -2.058
```

## Properties
DFT formation energy, eV/atom: 0.606
M_tot, μB per cell: 0.000
Total DFT energy (no corrections), eV/atom: -1.757
Symmetry: Pm-3m
Polymorph energy (0 for the lowest one), meV per atom: 763.2